(1)
Material: SrTl8In4
Method: DFT, PBE-GGA
State: optimized geometry

extended XYZ file:
```
13
Lattice="-5.6873 5.6873 3.1077 5.6873 -5.6873 3.1077 5.6873 5.6873 -3.1077" Properties=species:S:1:pos:R:3 pbc="T T T"
Sr 0.0000 0.0000 0.0000
Tl 4.0320 0.0000 0.0000
Tl 7.3426 0.0000 0.0000
Tl 5.6873 3.3250 0.0000
Tl 0.0000 4.0320 0.0000
Tl 3.3250 5.6873 0.0000
Tl 2.3623 0.0000 3.1077
Tl 0.0000 7.3426 0.0000
Tl 0.0000 2.3623 3.1077
In 2.8437 2.8437 -1.5538
In 2.8437 -2.8437 1.5538
In -2.8437 2.8437 1.5538
In 2.8437 2.8437 1.5538
```

Output
SG: I4/mmm

(2)
Material: Sr2Tl7In
Method: DFT, PBE-GGA
State: optimized geometry

extended XYZ file:
```
10
Lattice="0.0000 5.8759 5.8759 5.8759 0.0000 5.8759 5.8759 5.8759 0.0000" Properties=species:S:1:pos:R:3 pbc="T T T"
Sr 2.9380 2.9380 2.9380
Sr 8.8139 8.8139 8.8139
Tl 0.0000 0.0000 0.0000
Tl 5.8759 5.8759 2.9719
Tl 5.8759 2.9719 5.8759
Tl 8.7800 5.8759 5.8759
Tl 2.9719 5.8759 5.8759
Tl 5.8759 8.7800 5.8759
Tl 5.8759 5.8759 8.7800
In 5.8759 5.8759 5.8759
```

Output
SG: Fm-3m

(3)
Material: Sr2TlIn
Method: DFT, PBE-GGA
State: optimized geometry

extended XYZ file:
```
8
Lattice="3.8682 0.0000 0.0000 0.0000 6.6895 0.0000 0.0000 0.0000 13.6242" Properties=species:S:1:pos:R:3 pbc="T T T"
Sr 0.0000 0.0000 3.3886
Sr 0.0000 0.0000 10.2355
Sr 1.9341 3.3448 3.4235
Sr 1.9341 3.3448 10.2007
Tl 0.0000 0.0000 0.0000
Tl 1.9341 3.3448 6.8121
In 0.0000 0.0000 6.8121
In 1.9341 3.3448 0.0000
```

Output
SG: Immm

| no. | DOS at the Fermi energy (states/eV per atom) | DFT formation energy (meV per atom) |
| --- | --- | --- |
| 1 | 0.533 | -43 |
| 2 | 0.408 | 110 |
| 3 | 1.002 | 224 |